(1)
TmU2In9 (PBE-GGA, relaxed); space-group type = No. 123; total moment = 0.450 μB/atom; crystal system = tetragonal; total energy = -4.4312 eV per atom
1.0
4.626 0.000 0.000
0.000 4.626 0.000
0.000 0.000 13.878
Tm U In
1 2 9
direct
0.000 0.000 0.000
0.000 0.000 0.332
0.000 0.000 0.668
0.500 0.500 0.000
0.500 0.500 0.334
0.500 0.500 0.666
0.500 0.000 0.166
0.500 0.000 0.500
0.500 0.000 0.834
0.000 0.500 0.166
0.000 0.500 0.500
0.000 0.500 0.834

(2)
Y3TmIn2 (PBE-GGA, relaxed); space-group type = No. 65; total moment = 0.000 μB/atom; crystal system = orthorhombic; E above lowest polymorph = 62 meV/atom
1.0
4.907 0.000 0.000
0.000 8.965 0.000
-2.453 -4.482 7.687
Y Tm In
6 2 4
direct
0.500 0.250 0.000
0.500 0.750 0.000
0.827 0.077 0.655
0.173 0.423 0.345
0.173 0.923 0.345
0.827 0.577 0.655
0.000 0.500 0.000
0.000 0.000 0.000
0.347 0.347 0.694
0.653 0.153 0.306
0.347 0.847 0.694
0.653 0.653 0.306

(3)
Y4Tm7In (PBE-GGA, relaxed); space-group type = No. 12; total moment = 0.000 μB/atom; crystal system = monoclinic; total energy = -4.7890 eV per atom
1.0
-1.852 3.549 4.212
-9.145 -5.342 4.488
2.284 -1.317 6.123
Y Tm In
4 7 1
direct
0.627 0.229 0.518
0.373 0.771 0.482
0.851 0.622 0.676
0.149 0.378 0.324
0.799 0.920 0.482
0.201 0.080 0.518
0.097 0.719 0.086
0.903 0.281 0.914
0.370 0.476 0.784
0.500 0.000 0.000
0.630 0.524 0.216
0.000 0.000 0.000

(4)
YTm4In5 (PBE-GGA, relaxed); space-group type = No. 123; total moment = 0.000 μB/atom; crystal system = tetragonal; total energy = -4.2422 eV per atom
1.0
3.697 0.000 0.000
0.000 3.697 0.000
0.000 0.000 18.972
Y Tm In
1 4 5
direct
0.000 0.000 0.000
0.000 0.000 0.202
0.000 0.000 0.401
0.000 0.000 0.599
0.000 0.000 0.798
0.500 0.500 0.103
0.500 0.500 0.302
0.500 0.500 0.500
0.500 0.500 0.698
0.500 0.500 0.897

(5)
Y2Tm3In4 (PBE-GGA, relaxed); space-group type = No. 64; total moment = 0.000 μB/atom; crystal system = orthorhombic; E above lowest polymorph = 149 meV/atom
1.0
-4.194 2.533 4.960
-6.650 0.921 -6.094
-0.478 -8.803 -0.809
Y Tm In
4 6 8
direct
0.111 0.575 0.222
0.889 0.425 0.778
0.389 0.075 0.778
0.611 0.925 0.222
0.000 0.000 0.000
0.500 0.500 0.000
0.536 0.750 0.572
0.964 0.250 0.428
0.464 0.250 0.428
0.036 0.750 0.572
0.722 0.750 0.944
0.778 0.250 0.056
0.278 0.250 0.056
0.222 0.750 0.944
0.186 0.959 0.373
0.814 0.041 0.627
0.314 0.459 0.627
0.686 0.541 0.373

(6)
Y5Tm4In (PBE-GGA, relaxed); space-group type = No. 79; total moment = 0.000 μB/atom; crystal system = tetragonal; total energy = -5.0855 eV per atom
1.0
6.146 0.000 0.000
3.073 7.233 0.000
3.073 0.000 7.233
Y Tm In
5 4 1
direct
0.818 0.375 0.918
0.193 0.918 0.625
0.736 0.082 0.375
0.111 0.625 0.082
0.646 0.000 0.000
0.413 0.393 0.696
0.806 0.696 0.607
0.109 0.304 0.393
0.501 0.607 0.304
0.178 0.000 0.000